Compound: Li4NdHg5
Source: the Alexandria database
Functional: PBE-GGA
Structure: relaxed

Computed properties:
Formation energy in meV per atom: -374
SG: No. 123

```
10
Lattice="-2.0128 -2.2316 -1.7286 2.4921 -2.4019 0.1991 -6.5076 -5.5318 14.7191" Properties=species:S:1:pos:R:3 pbc="T T T"
Li -1.4415 -1.2253 3.2604
Li -2.6559 -2.2577 6.0073
Li -3.8516 -3.2741 8.7118
Li -5.0661 -4.3064 11.4587
Nd 0.0000 0.0000 0.0000
Hg -0.5984 -3.0291 1.1308
Hg -1.8114 -4.0602 3.8744
Hg -3.0141 -5.0826 6.5948
Hg -4.2169 -6.1050 9.3153
Hg -5.4299 -7.1361 12.0589
```